[1]
# Be2AsAu, relaxed, DFT PBE
data_Be2AsAu
_cell_length_a 7.5078
_cell_length_b 3.6681
_cell_length_c 4.4103
_cell_angle_alpha 90.00
_cell_angle_beta 97.83
_cell_angle_gamma 90.00
_symmetry_space_group_name_H-M 'C 1 m 1'
_symmetry_Int_Tables_number 8
loop_
_symmetry_equiv_pos_as_xyz
'x,y,z'
'x,-y,z'
'x+1/2,y+1/2,z'
'x+1/2,-y+1/2,z'
loop_
_atom_site_label
_atom_site_fract_x
_atom_site_fract_y
_atom_site_fract_z
_atom_site_occupancy
Be1 0.0000 0.0000 0.0000 1
Be2 0.1974 0.5000 0.9992 1
As1 0.2259 0.0000 0.7024 1
Au1 0.4795 0.0000 0.3200 1
# **N(E_F)**: 0.28 states/eV per atom
# **Final energy**: -29.8 eV/cell
# **Calculated formation energy**: 0.1162 eV per atom

[2]
# CdCoAu4, relaxed, DFT PBE
data_CdCoAu4
_cell_length_a 7.7405
_cell_length_b 7.7405
_cell_length_c 7.7405
_cell_angle_alpha 90.00
_cell_angle_beta 90.00
_cell_angle_gamma 90.00
_symmetry_space_group_name_H-M 'F -4 3 m'
_symmetry_Int_Tables_number 216
_symmetry_space_group_name_Hall 'F -4 2 3'
loop_
_atom_site_label
_atom_site_fract_x
_atom_site_fract_y
_atom_site_fract_z
_atom_site_occupancy
Cd1 0.0000 0.0000 0.0000 1
Co1 0.2500 0.2500 0.7500 1
Au1 0.1248 0.1248 0.3752 1
# **N(E_F)**: 0.84 states/eV per atom
# **Final energy**: -77.1 eV/cell
# **Calculated formation energy**: 0.3101 eV per atom

[3]
# NaGaAs2Br, relaxed, DFT PBE
data_NaGaAs2Br
_cell_length_a 5.2328
_cell_length_b 5.2328
_cell_length_c 5.6011
_cell_angle_alpha 90.00
_cell_angle_beta 90.00
_cell_angle_gamma 90.00
_symmetry_space_group_name_H-M 'P 4/m m m'
_symmetry_Int_Tables_number 123
_symmetry_space_group_name_Hall '-P 4 2'
loop_
_atom_site_label
_atom_site_fract_x
_atom_site_fract_y
_atom_site_fract_z
_atom_site_occupancy
Na1 0.0000 0.0000 0.0000 1
Ga1 0.5000 0.5000 0.5000 1
As1 0.0000 0.5000 0.0000 1
Br1 0.0000 0.0000 0.5000 1
# **Energy relative to the elements, uncorrected**: 0.610 eV/atom
# **N(E_F)**: 0.70 states/eV per atom
# **Final energy**: -12.3 eV/cell

[4]
# LiNiH3Pd, relaxed, DFT PBE
data_LiNiH3Pd
_cell_length_a 2.8257
_cell_length_b 4.2392
_cell_length_c 7.5109
_cell_angle_alpha 90.00
_cell_angle_beta 90.00
_cell_angle_gamma 90.00
_symmetry_space_group_name_H-M 'P m m n'
_symmetry_Int_Tables_number 59
loop_
_symmetry_equiv_pos_as_xyz
'x,y,z'
'-x,-y,-z'
'-x+1/2,-y+1/2,z'
'x+1/2,y+1/2,-z'
'x+1/2,-y,-z'
'-x+1/2,y,z'
'-x,y+1/2,-z'
'x,-y+1/2,z'
loop_
_atom_site_label
_atom_site_fract_x
_atom_site_fract_y
_atom_site_fract_z
_atom_site_occupancy
Li1 0.2500 0.2500 0.2459 1
Ni1 0.2500 0.7500 0.4437 1
H1 0.2500 0.0200 0.6153 1
H2 0.2500 0.7500 0.9562 1
Pd1 0.2500 0.2500 0.8900 1
# **N(E_F)**: 0.11 states/eV per atom
# **Final energy**: -48.7 eV/cell

[5]
# CaHOs2, relaxed, DFT PBE
data_CaHOs2
_cell_length_a 6.2018
_cell_length_b 6.2018
_cell_length_c 6.2018
_cell_angle_alpha 90.00
_cell_angle_beta 90.00
_cell_angle_gamma 90.00
_symmetry_space_group_name_H-M 'F m -3 m'
_symmetry_Int_Tables_number 225
_symmetry_space_group_name_Hall '-F 4 2 3'
loop_
_atom_site_label
_atom_site_fract_x
_atom_site_fract_y
_atom_site_fract_z
_atom_site_occupancy
Ca1 0.0000 0.0000 0.0000 1
H1 0.0000 0.0000 0.5000 1
Os1 0.2500 0.2500 0.2500 1
# **N(E_F)**: 1.46 states/eV per atom
# **Final energy**: -81.1 eV/cell

[6]
# CsHg3Au, relaxed, DFT PBE
data_CsHg3Au
_cell_length_a 8.2109
_cell_length_b 25.8570
_cell_length_c 5.8991
_cell_angle_alpha 90.00
_cell_angle_beta 90.00
_cell_angle_gamma 90.00
_symmetry_space_group_name_H-M 'C m c m'
_symmetry_Int_Tables_number 63
_symmetry_space_group_name_Hall '-C 2c 2'
loop_
_atom_site_label
_atom_site_fract_x
_atom_site_fract_y
_atom_site_fract_z
_atom_site_occupancy
Cs1 0.0000 0.1422 0.2500 1
Hg1 0.0000 0.0000 0.0000 1
Hg2 0.1700 0.2308 0.7500 1
Au1 0.0000 0.2728 0.2500 1
# **N(E_F)**: 0.46 states/eV per atom
# **Final energy**: -20.5 eV/cell
# **Calculated formation energy**: -0.0172 eV per atom

[7]
# Pr6ErMg, relaxed, DFT PBE
data_Pr6ErMg
_cell_length_a 5.1136
_cell_length_b 5.1136
_cell_length_c 10.3095
_cell_angle_alpha 90.00
_cell_angle_beta 90.00
_cell_angle_gamma 90.00
_symmetry_space_group_name_H-M 'P 4/m m m'
_symmetry_Int_Tables_number 123
_symmetry_space_group_name_Hall '-P 4 2'
loop_
_atom_site_label
_atom_site_fract_x
_atom_site_fract_y
_atom_site_fract_z
_atom_site_occupancy
Pr1 0.0000 0.0000 0.0000 1
Pr2 0.0000 0.0000 0.5000 1
Pr3 0.0000 0.5000 0.2478 1
Er1 0.5000 0.5000 0.5000 1
Mg1 0.5000 0.5000 0.0000 1
# **N(E_F)**: 1.15 states/eV per atom
# **Final energy**: -34.9 eV/cell
# **Calculated formation energy**: -0.0033 eV per atom

[8]
# LaY2Mg, relaxed, DFT PBE
data_LaY2Mg
_cell_length_a 3.6105
_cell_length_b 3.6105
_cell_length_c 33.6475
_cell_angle_alpha 90.00
_cell_angle_beta 90.00
_cell_angle_gamma 120.00
_symmetry_space_group_name_H-M 'R -3 m'
_symmetry_Int_Tables_number 166
_symmetry_space_group_name_Hall '-R 3 2"'
loop_
_atom_site_label
_atom_site_fract_x
_atom_site_fract_y
_atom_site_fract_z
_atom_site_occupancy
La1 0.0000 0.0000 0.0000 1
Y1 0.0000 0.0000 0.2444 1
Mg1 0.0000 0.0000 0.5000 1
# **N(E_F)**: 0.99 states/eV per atom
# **Final energy**: -58.2 eV/cell
# **Calculated formation energy**: 0.0103 eV per atom

[9]
# La2HoPb2, relaxed, DFT PBE
data_La2HoPb2
_cell_length_a 8.3351
_cell_length_b 8.3351
_cell_length_c 4.7443
_cell_angle_alpha 90.00
_cell_angle_beta 90.00
_cell_angle_gamma 90.00
_symmetry_space_group_name_H-M 'P 4/m b m'
_symmetry_Int_Tables_number 127
_symmetry_space_group_name_Hall '-P 4 2ab'
loop_
_atom_site_label
_atom_site_fract_x
_atom_site_fract_y
_atom_site_fract_z
_atom_site_occupancy
La1 0.1696 0.3304 0.0000 1
Ho1 0.0000 0.0000 0.5000 1
Pb1 0.1353 0.6353 0.5000 1
# **N(E_F)**: 1.06 states/eV per atom
# **Final energy**: -49.3 eV/cell
# **Calculated formation energy**: -0.5569 eV per atom

[10]
# NaIn4Sn5, relaxed, DFT PBE
data_NaIn4Sn5
_cell_length_a 17.6429
_cell_length_b 3.8109
_cell_length_c 8.3998
_cell_angle_alpha 90.00
_cell_angle_beta 103.39
_cell_angle_gamma 90.00
_symmetry_space_group_name_H-M 'C 1 2/m 1'
_symmetry_Int_Tables_number 12
loop_
_symmetry_equiv_pos_as_xyz
'x,y,z'
'-x,-y,-z'
'-x,y,-z'
'x,-y,z'
'x+1/2,y+1/2,z'
'-x+1/2,-y+1/2,-z'
'-x+1/2,y+1/2,-z'
'x+1/2,-y+1/2,z'
loop_
_atom_site_label
_atom_site_fract_x
_atom_site_fract_y
_atom_site_fract_z
_atom_site_occupancy
Na1 0.0000 0.0000 0.0000 1
In1 0.1051 0.5000 0.3069 1
In2 0.1977 0.0000 0.0910 1
Sn1 0.0000 0.0000 0.5000 1
Sn2 0.1020 0.5000 0.7897 1
Sn3 0.1989 0.0000 0.6073 1
# **N(E_F)**: 0.50 states/eV per atom
# **Final energy**: -64.6 eV/cell
# **Calculated formation energy**: 0.0006 eV per atom

[11]
# BaTl2Co, relaxed, DFT PBE
data_BaTl2Co
_cell_length_a 3.5482
_cell_length_b 3.5482
_cell_length_c 8.1634
_cell_angle_alpha 90.00
_cell_angle_beta 90.00
_cell_angle_gamma 90.00
_symmetry_space_group_name_H-M 'P 4/m m m'
_symmetry_Int_Tables_number 123
_symmetry_space_group_name_Hall '-P 4 2'
loop_
_atom_site_label
_atom_site_fract_x
_atom_site_fract_y
_atom_site_fract_z
_atom_site_occupancy
Ba1 0.0000 0.0000 0.0000 1
Tl1 0.5000 0.5000 0.3152 1
Co1 0.0000 0.0000 0.5000 1
# **N(E_F)**: 1.18 states/eV per atom
# **Final energy**: -13.0 eV/cell
# **Calculated formation energy**: 0.1974 eV per atom

[12]
# TbHoGaGe, relaxed, DFT PBE
data_TbHoGaGe
_cell_length_a 4.0038
_cell_length_b 4.3218
_cell_length_c 10.7917
_cell_angle_alpha 90.00
_cell_angle_beta 90.00
_cell_angle_gamma 90.00
_symmetry_space_group_name_H-M 'A m m 2'
_symmetry_Int_Tables_number 38
loop_
_symmetry_equiv_pos_as_xyz
'x,y,z'
'-x,-y,z'
'-x,y,z'
'x,-y,z'
'x,y+1/2,z+1/2'
'-x,-y+1/2,z+1/2'
'-x,y+1/2,z+1/2'
'x,-y+1/2,z+1/2'
loop_
_atom_site_label
_atom_site_fract_x
_atom_site_fract_y
_atom_site_fract_z
_atom_site_occupancy
Tb1 0.0000 0.0000 0.0000 1
Ho1 0.5000 0.0000 0.2794 1
Ga1 0.5000 0.0000 0.5606 1
Ge1 0.0000 0.0000 0.7194 1
# **N(E_F)**: 0.83 states/eV per atom
# **Final energy**: -40.0 eV/cell
# **Calculated formation energy**: -0.7908 eV per atom

[13]
# Mo2As, relaxed, DFT PBE
data_Mo2As
_cell_length_a 7.2497
_cell_length_b 7.2497
_cell_length_c 3.0592
_cell_angle_alpha 90.00
_cell_angle_beta 90.00
_cell_angle_gamma 120.00
_symmetry_space_group_name_H-M 'P -6 2 m'
_symmetry_Int_Tables_number 189
_symmetry_space_group_name_Hall 'P -6 -2'
loop_
_atom_site_label
_atom_site_fract_x
_atom_site_fract_y
_atom_site_fract_z
_atom_site_occupancy
Mo1 0.0000 0.2931 0.0000 1
Mo2 0.0000 0.6293 0.5000 1
As1 0.0000 0.0000 0.5000 1
As2 0.3333 0.6667 0.0000 1
# **N(E_F)**: 0.65 states/eV per atom
# **Final energy**: -78.8 eV/cell
# **Calculated formation energy**: 0.0119 eV per atom

[14]
# Sn3Bi5S12, relaxed, DFT PBE
data_Sn3Bi5S12
_cell_length_a 16.5863
_cell_length_b 16.5863
_cell_length_c 16.5863
_cell_angle_alpha 90.00
_cell_angle_beta 90.00
_cell_angle_gamma 90.00
_symmetry_space_group_name_H-M 'I a -3 d'
_symmetry_Int_Tables_number 230
_symmetry_space_group_name_Hall '-I 4bd 2c 3'
loop_
_atom_site_label
_atom_site_fract_x
_atom_site_fract_y
_atom_site_fract_z
_atom_site_occupancy
Sn1 0.0000 0.2500 0.1250 1
Bi1 0.0000 0.0000 0.0000 1
Bi2 0.0000 0.2500 0.3750 1
S1 0.0216 0.0685 0.6520 1
# **Energy relative to the elements, uncorrected**: -0.126 eV/atom
# **N(E_F)**: 0.38 states/eV per atom
# **Final energy**: -667.7 eV/cell